Entry 1:
VASP calculation (PBE) on an optimized crystal structure of MgBiSbPb.

Cell lengths 7.7263, 7.7263, 7.7263 Å; angles 90.00, 90.00, 90.00 degrees
Closest atoms and distances in Å follow each position.
Space group F-43m (No. 216)
Asymmetric unit:
Mg 0.0000 0.0000 0.0000 (multiplicity 4)  4 Sb 3.35, 4 Bi 3.35
Bi 0.2500 0.2500 0.2500 (multiplicity 4)  4 Pb 3.35, 4 Mg 3.35
Sb 0.2500 0.2500 0.7500 (multiplicity 4)  4 Pb 3.35, 4 Mg 3.35
Pb 0.0000 0.0000 0.5000 (multiplicity 4)  4 Bi 3.35, 4 Sb 3.35

Calculated values
**E_form (uncorrected)**: 11.4 meV/atom


Entry 2:
VASP calculation (PBE) on an optimized crystal structure of Cs3H2Br4.

Cell lengths 16.0039, 10.4096, 9.8255 Å; angles 90.00, 101.78, 90.00 degrees
Closest atoms and distances in Å follow each position.
Space group C2/c (No. 15)
Asymmetric unit:
Cs 0.0000 0.0620 0.2500 (multiplicity 4)  4 H 3.54-3.55, 6 Br 3.76-3.88
Cs 0.1558 0.4087 0.6545 (multiplicity 8)  5 Br 3.76-4.01, 1 H 4.14
H 0.1379 0.1123 0.0140 (multiplicity 8)  1 Br 1.61
Br 0.0922 0.2492 0.9758 (multiplicity 8)  1 H 1.61
Br 0.1777 0.0606 0.5660 (multiplicity 8)  1 H 1.94


Taking the records one at a time from the top gives energy values of -53.043, -96.926 eV/cell.
Taking the records one at a time from the top gives D(E_F) values of 7.77, 7.98 states/eV per cell.